Computed, not measured: a geometry-optimized NaThBi2O8 structure at the PBE level of DFT.

Formation energy (no corrections): -1482 meV/atom
Magnetic moment: 0.0910 μB per atom
Space-group type: I-4 (82)
Uncorrected energy: -0.453 Ry/atom

Unit cell a=5.5648 b=5.5648 c=6.8427 alpha=113.99 beta=113.99 gamma=90.00
With the nearest neighbours (Å) after each atom.
Element x y z (fractional)
O: 0.6405 0.1890 0.8108  1 Bi 2.07
O: 0.3443 0.8999 0.3003  1 Bi 2.09
O: 0.3783 0.3595 0.1892  1 Bi 2.07
O: 0.1703 0.6217 0.8108  1 Bi 2.07
O: 0.8110 0.8297 0.1892  1 Bi 2.07
O: 0.5996 0.6557 0.6997  1 Bi 2.09
O: 0.9559 0.4004 0.3003  1 Bi 2.09
O: 0.1001 0.0441 0.6997  1 Bi 2.09
Bi: 0.2500 0.7500 0.5000  4 O 2.09
Bi: 0.5000 0.5000 0.0000  4 O 2.07
Th: 0.0000 0.0000 0.0000  8 O 2.41-2.44
Na: 0.7500 0.2500 0.5000  8 O 2.47-2.58